Entry from Alexandria: a relaxed structure of CePu2Sn2Hg2 (PBE-GGA).

Results
The crystal system is trigonal. For the formation energy, the calculation gives -212 meV/atom.

Cell lengths 5.0799, 5.0799, 25.2606 Å; angles 90.00, 90.00, 120.00 degrees
Space group R-3m (No. 166, hexagonal axes)
Symmetry-distinct sites (fractional):
Ce1 0.0000 0.0000 0.0000
Pu1 0.0000 0.0000 0.1387
Sn1 0.0000 0.0000 0.2684
Hg1 0.0000 0.0000 0.4300